A geometry-optimized BaCdGaAu2 structure. Source: Alexandria via LeMat-Bulk, functional PBE.

## Properties
uncorrected energy = -0.2069 Ry/atom
offset from the most stable computed form = 177 meV/atom
calculated formation energy = -0.33 eV/atom

Structure (CIF):
```
data_BaCdGaAu2
_space_group_name_H-M_alt 'P 4/m m m'
_space_group_IT_number 123
_space_group_name_Hall '-P 4 2'
_cell_length_a 5.101
_cell_length_b 5.101
_cell_length_c 5.258
_cell_angle_alpha 90.00
_cell_angle_beta 90.00
_cell_angle_gamma 90.00
loop_
_atom_site_label
_atom_site_type_symbol
_atom_site_fract_x
_atom_site_fract_y
_atom_site_fract_z
Ba1 Ba 0.000 0.000 0.000
Cd1 Cd 0.500 0.500 0.000
Ga1 Ga 0.500 0.500 0.500
Au1 Au 0.000 0.500 0.500
```

---

A geometry-optimized La13Nd3 structure. Source: Alexandria via LeMat-Bulk, functional PBE.

## Properties
uncorrected energy = -0.3595 Ry/atom
calculated formation energy = 0.01 eV/atom

Structure (CIF):
```
data_La13Nd3
_space_group_name_H-M_alt 'A m m 2'
_space_group_IT_number 38
_space_group_name_Hall 'A 2 -2'
_cell_length_a 10.547
_cell_length_b 10.473
_cell_length_c 10.479
_cell_angle_alpha 90.00
_cell_angle_beta 90.00
_cell_angle_gamma 90.00
loop_
_atom_site_label
_atom_site_type_symbol
_atom_site_fract_x
_atom_site_fract_y
_atom_site_fract_z
La1 La 0.000 0.000 0.000
La2 La 0.000 0.000 0.500
La3 La 0.000 0.250 0.250
La4 La 0.250 0.000 0.250
La5 La 0.250 0.250 0.000
La6 La 0.500 0.000 0.001
La7 La 0.500 0.250 0.250
Nd1 Nd 0.251 0.000 0.750
Nd2 Nd 0.500 0.000 0.500
```

---

A geometry-optimized ZrMnZn11 structure. Source: Alexandria via LeMat-Bulk, functional PBE.

## Properties
uncorrected energy = -0.1858 Ry/atom
calculated formation energy = -0.09 eV/atom

Structure (CIF):
```
data_ZrMnZn11
_space_group_name_H-M_alt 'C 1 2/m 1'
_space_group_IT_number 12
_space_group_name_Hall '-C 2y'
_cell_length_a 5.221
_cell_length_b 12.315
_cell_length_c 6.670
_cell_angle_alpha 90.00
_cell_angle_beta 112.54
_cell_angle_gamma 90.00
loop_
_atom_site_label
_atom_site_type_symbol
_atom_site_fract_x
_atom_site_fract_y
_atom_site_fract_z
Zr1 Zr 0.000 0.000 0.000
Mn1 Mn 0.000 0.000 0.500
Zn1 Zn 0.000 0.500 0.500
Zn2 Zn 0.109 0.394 0.214
Zn3 Zn 0.164 0.173 0.351
Zn4 Zn 0.250 0.250 0.000
```

---

A geometry-optimized Pr3Sm3Au2 structure. Source: Alexandria via LeMat-Bulk, functional PBE.

## Properties
uncorrected energy = -0.3474 Ry/atom
calculated formation energy = -0.35 eV/atom

Structure (CIF):
```
data_Pr3Sm3Au2
_space_group_name_H-M_alt 'C m c m'
_space_group_IT_number 63
_space_group_name_Hall '-C 2c 2'
_cell_length_a 3.910
_cell_length_b 12.564
_cell_length_c 19.819
_cell_angle_alpha 90.00
_cell_angle_beta 90.00
_cell_angle_gamma 90.00
loop_
_atom_site_label
_atom_site_type_symbol
_atom_site_fract_x
_atom_site_fract_y
_atom_site_fract_z
Pr1 Pr 0.000 0.059 0.118
Pr2 Pr 0.000 0.371 0.250
Sm1 Sm 0.000 0.359 0.750
Sm2 Sm 0.000 0.361 0.027
Au1 Au 0.000 0.221 0.628
```

---

A geometry-optimized ThScPa2 structure. Source: Alexandria via LeMat-Bulk, functional PBE.

## Properties
uncorrected energy = -0.5899 Ry/atom
offset from the most stable computed form = 56 meV/atom
calculated formation energy = 0.16 eV/atom

Structure (CIF):
```
data_ThScPa2
_space_group_name_H-M_alt 'P 4/m m m'
_space_group_IT_number 123
_space_group_name_Hall '-P 4 2'
_cell_length_a 3.307
_cell_length_b 3.307
_cell_length_c 9.699
_cell_angle_alpha 90.00
_cell_angle_beta 90.00
_cell_angle_gamma 90.00
loop_
_atom_site_label
_atom_site_type_symbol
_atom_site_fract_x
_atom_site_fract_y
_atom_site_fract_z
Th1 Th 0.000 0.000 0.000
Sc1 Sc 0.000 0.000 0.500
Pa1 Pa 0.500 0.500 0.257
```

---

A geometry-optimized Li2ZnTeS4 structure. Source: Alexandria via LeMat-Bulk, functional PBE.

## Properties
uncorrected energy = -0.2715 Ry/atom
ΔE_f (raw) = -0.600 eV/atom

Structure (CIF):
```
data_Li2ZnTeS4
_space_group_name_H-M_alt 'I m m a'
_space_group_IT_number 74
_space_group_name_Hall '-I 2b 2'
_cell_length_a 7.403
_cell_length_b 7.526
_cell_length_c 10.656
_cell_angle_alpha 90.00
_cell_angle_beta 90.00
_cell_angle_gamma 90.00
loop_
_atom_site_label
_atom_site_type_symbol
_atom_site_fract_x
_atom_site_fract_y
_atom_site_fract_z
Li1 Li 0.000 0.000 0.000
Li2 Li 0.250 0.250 0.250
Zn1 Zn 0.250 0.250 0.750
Te1 Te 0.000 0.000 0.500
S1 S 0.000 0.019 0.749
S2 S 0.245 0.250 0.005
```

---

Among the records above, which one has the highest uncorrected energy?
ZrMnZn11